Density functional theory data (SCAN) for a crystal of Dy3Sc2Al3O12 relaxed with PBEsol.

Geometry as POSCAR:
```
Dy3Sc2Al3O12
1.0
-6.143 6.143 6.143
6.143 -6.143 6.143
6.143 6.143 -6.143
Dy Sc Al O
12 8 12 48
Direct
0.125 0.250 0.375
0.125 0.375 0.750
0.250 0.375 0.125
0.250 0.875 0.625
0.375 0.125 0.250
0.375 0.750 0.125
0.625 0.250 0.875
0.625 0.875 0.750
0.750 0.125 0.375
0.750 0.625 0.875
0.875 0.625 0.250
0.875 0.750 0.625
0.000 0.000 0.000
0.000 0.000 0.500
0.000 0.500 0.000
0.000 0.500 0.500
0.500 0.000 0.000
0.500 0.000 0.500
0.500 0.500 0.000
0.500 0.500 0.500
0.125 0.750 0.875
0.125 0.875 0.250
0.250 0.125 0.875
0.250 0.625 0.375
0.375 0.250 0.625
0.375 0.625 0.750
0.625 0.375 0.250
0.625 0.750 0.375
0.750 0.375 0.625
0.750 0.875 0.125
0.875 0.125 0.750
0.875 0.250 0.125
0.027 0.215 0.126
0.027 0.312 0.901
0.089 0.715 0.688
0.089 0.874 0.401
0.099 0.626 0.411
0.099 0.973 0.688
0.126 0.027 0.215
0.126 0.599 0.911
0.188 0.215 0.589
0.188 0.473 0.599
0.215 0.126 0.027
0.215 0.589 0.188
0.285 0.312 0.911
0.285 0.473 0.374
0.312 0.901 0.027
0.312 0.911 0.285
0.374 0.285 0.473
0.374 0.589 0.901
0.401 0.089 0.874
0.401 0.812 0.527
0.411 0.099 0.626
0.411 0.812 0.785
0.473 0.374 0.285
0.473 0.599 0.188
0.527 0.401 0.812
0.527 0.626 0.715
0.589 0.188 0.215
0.589 0.901 0.374
0.599 0.188 0.473
0.599 0.911 0.126
0.626 0.411 0.099
0.626 0.715 0.527
0.688 0.089 0.715
0.688 0.099 0.973
0.715 0.527 0.626
0.715 0.688 0.089
0.785 0.411 0.812
0.785 0.874 0.973
0.812 0.527 0.401
0.812 0.785 0.411
0.874 0.401 0.089
0.874 0.973 0.785
0.901 0.027 0.312
0.901 0.374 0.589
0.911 0.126 0.599
0.911 0.285 0.312
0.973 0.688 0.099
0.973 0.785 0.874
```

uncorrected energy	-0.63391	hartree per atom
symmetry	Ia-3d (230)
DOS(E_F)	0.000	states/eV per cell